Version one
TbNd2Mg2: optimized geometry, PBE-GGA.

The calculation puts the total magnetization at 0.0 μB/f.u. Its density of states at the Fermi level is 13.998 states/eV per cell.

It has space group Immm (No. 71), with a = 5.2607 Å, b = 7.1087 Å, c = 8.2464 Å, α = 90.00°, β = 90.00° and γ = 90.00°. The asymmetric unit holds Tb at (0.0000, 0.0000, 0.0000), Nd at (0.0000, 0.5000, 0.1945) and Mg at (0.0000, 0.2078, 0.5000).

---

Version two
TbNd2Mg2: optimized geometry, PBE-GGA.

The calculation puts the total magnetization at 0.0 μB/f.u. Its density of states at the Fermi level is 10.832 states/eV per cell.

It has space group P2_1/m (No. 11), with a = 3.8393 Å, b = 5.5102 Å, c = 14.2970 Å, α = 90.00°, β = 97.75° and γ = 90.00°. The asymmetric unit holds Tb at (0.1502, 0.2500, 0.2989), Nd at (0.0452, 0.7500, 0.0896), Nd at (0.2359, 0.7500, 0.4736), Mg at (0.3598, 0.2500, 0.7201) and Mg at (0.4464, 0.7500, 0.8916).

---

The most stable arrangement is version two, and the next structure is 107 meV per atom less stable.